Al2TcTePd GGA-PBE optimized geometry; SG = P4/mmm; formation energy from raw total energies = 0.59 eV/atom; DOS at the Fermi energy = 0.964 states/eV per atom
1.0
4.821 0.000 0.000
0.000 4.861 0.000
0.000 0.000 4.821
Al Te Pd Tc
2 1 1 1
Cartesian
0.000 0.000 2.410
2.410 0.000 0.000
2.410 2.431 2.410
0.000 2.431 0.000
0.000 0.000 0.000